Computed, not measured: a relaxed Tm4SnSe4 crystal at the GGA-PBE level of DFT.

Calculated values
Its magnetic moment is 0.00 μB/f.u. The density of states at the Fermi level is 1.1 states/eV/cell. Its space group is C2/m, No. 12. The energy relative to the elements, uncorrected comes out at -1.560 eV/atom.

Lattice parameters (Å, degrees): 7.2578 7.2578 10.2474 119.35 119.35 32.33
Closest atoms and distances in Å follow each position.
Element x y z (fractional)
Tm1 0.0979 0.0979 0.3856  4 Se 2.86-2.97, 2 Sn 2.99
Tm2 0.2936 0.2936 0.1916  5 Se 2.79-2.92, 1 Sn 3.00
Tm3 0.7064 0.7064 0.8084  5 Se 2.79-2.92, 1 Sn 3.00
Tm4 0.9021 0.9021 0.6144  4 Se 2.86-2.97, 2 Sn 2.99
Sn1 0.5000 0.5000 0.5000  6 Tm 2.99-3.00
Se1 0.1091 0.1091 0.8970  4 Tm 2.79-2.86
Se2 0.2972 0.2972 0.6956  5 Tm 2.86-2.97
Se3 0.7028 0.7028 0.3044  5 Tm 2.86-2.97
Se4 0.8909 0.8909 0.1030  4 Tm 2.79-2.86

---

Computed, not measured: a relaxed SrAgPb2 crystal at the GGA-PBE level of DFT.

Calculated values
Its magnetic moment is 0.00 μB/f.u. The density of states at the Fermi level is 4.6 states/eV/cell. Its space group is Immm, No. 71. The calculation puts the electronic total energy at -3.27 eV/atom.

Lattice parameters (Å, degrees): 11.0346 11.0346 11.0346 153.62 123.60 63.30
Closest atoms and distances in Å follow each position.
Element x y z (fractional)
Sr1 0.2046 0.2046 0.0000  8 Pb 3.46-3.63, 4 Ag 3.69
Sr2 0.2219 0.0000 0.2219  10 Pb 3.72-4.15, 4 Ag 3.76
Sr3 0.7781 0.0000 0.7781  10 Pb 3.72-4.15, 4 Ag 3.76
Sr4 0.7954 0.7954 0.0000  8 Pb 3.46-3.63, 4 Ag 3.69
Ag1 0.0892 0.3518 0.7375  4 Pb 2.81-2.99
Ag2 0.3857 0.6482 0.7375  4 Pb 2.81-2.99
Ag3 0.6143 0.3518 0.2625  4 Pb 2.81-2.99
Ag4 0.9108 0.6482 0.2625  4 Pb 2.81-2.99
Pb1 0.0780 0.5780 0.5000  2 Ag 2.81, 1 Pb 2.93
Pb2 0.1577 0.8103 0.3474  3 Ag 2.87-3.17, 1 Pb 3.18
Pb3 0.4158 0.4158 0.0000  2 Ag 2.99, 1 Pb 3.16
Pb4 0.4629 0.8103 0.6526  3 Ag 2.87-3.17, 1 Pb 3.18
Pb5 0.5371 0.1897 0.3474  3 Ag 2.87-3.17, 1 Pb 3.18
Pb6 0.5842 0.5842 0.0000  2 Ag 2.99, 1 Pb 3.16
Pb7 0.8423 0.1897 0.6526  3 Ag 2.87-3.17, 1 Pb 3.18
Pb8 0.9220 0.4220 0.5000  2 Ag 2.81, 1 Pb 2.93

---

Computed, not measured: a relaxed KPt2 crystal at the GGA-PBE level of DFT.

Calculated values
Its magnetic moment is 0.00 μB/f.u. The density of states at the Fermi level is 13.9 states/eV/cell. Its space group is I4/mcm, No. 140. The calculation puts the electronic total energy at -3.52 eV/atom.

Lattice parameters (Å, degrees): 7.3195 7.3195 4.9456 90.00 90.00 90.00
Closest atoms and distances in Å follow each position.
Element x y z (fractional)
K1 0.0000 0.0000 0.2500  2 K 2.47
K2 0.0000 0.0000 0.7500  2 K 2.47
K3 0.5000 0.5000 0.2500  2 K 2.47
K4 0.5000 0.5000 0.7500  2 K 2.47
Pt1 0.1212 0.3788 0.0000  1 Pt 2.51
Pt2 0.1212 0.6212 0.5000  1 Pt 2.51
Pt3 0.3788 0.1212 0.5000  1 Pt 2.51
Pt4 0.3788 0.8788 0.0000  1 Pt 2.51
Pt5 0.6212 0.1212 0.0000  1 Pt 2.51
Pt6 0.6212 0.8788 0.5000  1 Pt 2.51
Pt7 0.8788 0.3788 0.5000  1 Pt 2.51
Pt8 0.8788 0.6212 0.0000  1 Pt 2.51